1.
3
Lattice="3.3784 0.0000 0.0000 -1.6892 2.9258 0.0000 0.0000 0.0000 5.0250" Properties=species:S:1:pos:R:3 comment="PBE CeTcN, optimized geometry" polymorph_energy_mev_per_atom=146 formation_energy_uncorrected_ev_per_atom=-0.380 n_ef_per_ev_cell=2.68 sg="No. 156" pbc="T T T"
Ce 0.0000 0.0000 0.0000
Tc 0.0000 1.9505 2.8283
N 1.6892 0.9753 3.5284

2.
9
Lattice="6.6946 -1.9759 0.0000 6.6946 1.9759 0.0000 -1.8440 0.0000 4.7437" Properties=species:S:1:pos:R:3 comment="PBE Ce2Tc2N5, optimized geometry" formation_energy_uncorrected_ev_per_atom=-0.727 n_ef_per_ev_cell=6.07 sg="No. 12" pbc="T T T"
Ce 0.8997 0.0000 2.0280
Ce 10.6455 0.0000 2.7158
Tc 5.4858 0.0000 0.3977
Tc 6.0594 0.0000 4.3460
N -0.5662 0.0000 4.3100
N 2.8029 0.0000 3.3552
N 5.7726 0.0000 2.3719
N 8.7424 0.0000 1.3886
N 12.1114 0.0000 0.4338

3.
80
Lattice="-6.3927 6.3927 6.3927 6.3927 -6.3927 6.3927 6.3927 6.3927 -6.3927" Properties=species:S:1:pos:R:3 comment="PBE Ce3Tc5N12, optimized geometry" formation_energy_uncorrected_ev_per_atom=-0.524 n_ef_per_ev_cell=50.54 sg="No. 230" pbc="T T T"
Ce 3.1963 1.5982 0.0000
Ce 6.3927 3.1963 -1.5982
Ce 1.5982 0.0000 3.1963
Ce 7.9908 0.0000 3.1963
Ce 0.0000 3.1963 1.5982
Ce 3.1963 -1.5982 6.3927
Ce 3.1963 7.9908 0.0000
Ce 6.3927 3.1963 4.7945
Ce -1.5982 6.3927 3.1963
Ce 4.7945 6.3927 3.1963
Ce 0.0000 3.1963 7.9908
Ce 3.1963 4.7945 6.3927
Tc 0.0000 0.0000 0.0000
Tc 3.1963 3.1963 -3.1963
Tc 3.1963 -3.1963 3.1963
Tc 6.3927 0.0000 0.0000
Tc 9.5890 1.5982 0.0000
Tc 6.3927 -3.1963 4.7945
Tc 4.7945 6.3927 -3.1963
Tc 4.7945 0.0000 3.1963
Tc 3.1963 4.7945 0.0000
Tc 6.3927 3.1963 1.5982
Tc -3.1963 3.1963 3.1963
Tc 0.0000 6.3927 0.0000
Tc 0.0000 0.0000 6.3927
Tc 3.1963 3.1963 3.1963
Tc 0.0000 3.1963 4.7945
Tc 3.1963 1.5982 6.3927
Tc 1.5982 6.3927 3.1963
Tc 1.5982 0.0000 9.5890
Tc 0.0000 9.5890 1.5982
Tc -3.1963 4.7945 6.3927
N 1.9248 -0.3949 0.6048
N 7.6642 3.8011 -3.5912
N 8.3174 0.3949 0.6048
N 7.6642 -2.5915 3.5912
N 5.9978 -0.6048 1.9248
N 9.9839 -1.2716 2.5915
N 0.6048 1.9248 -0.3949
N 8.9842 2.8015 -1.2716
N 3.8011 3.5912 -1.2716
N 5.7879 1.9248 0.3949
N -0.3949 0.6048 1.9248
N 3.5912 -1.2716 3.8011
N 5.9978 5.7879 -1.9248
N 3.5912 1.2716 2.5915
N 3.8011 -3.5912 7.6642
N 5.7879 -1.9248 5.9978
N 2.5915 3.5912 1.2716
N 6.9975 4.4679 0.3949
N 3.5912 7.6642 -2.5915
N 5.9978 0.6048 4.4679
N 1.9248 5.9978 -0.6048
N 7.6642 2.5915 2.8015
N 1.2716 2.5915 3.5912
N 1.9248 0.3949 5.7879
N 4.4679 5.9978 0.6048
N 5.1211 3.8011 2.8015
N -1.2716 3.8011 3.5912
N 4.4679 0.3949 6.9975
N 0.3949 5.7879 1.9248
N 2.8015 -1.2716 8.9842
N -0.6048 1.9248 5.9978
N 3.8011 2.8015 5.1211
N 0.6048 8.3174 0.3949
N 2.5915 9.9839 -1.2716
N 2.8015 5.1211 3.8011
N 0.3949 0.6048 8.3174
N 2.8015 7.6642 2.5915
N 6.7875 5.7879 4.4679
N 0.6048 4.4679 5.9978
N 2.5915 2.8015 7.6642
N -2.5915 3.5912 7.6642
N 5.7879 4.4679 6.7875
N -3.5912 7.6642 3.8011
N 0.3949 6.9975 4.4679
N -1.2716 8.9842 2.8015
N -1.9248 5.9978 5.7879
N -1.2716 2.5915 9.9839
N 4.4679 6.7875 5.7879

4.
15
Lattice="5.1623 2.9804 3.0670 -5.1623 2.9804 3.0670 0.0000 -5.9609 3.0670" Properties=species:S:1:pos:R:3 comment="PBE Ce6TcN8, optimized geometry" formation_energy_uncorrected_ev_per_atom=-1.075 n_ef_per_ev_cell=10.92 sg="No. 148" pbc="T T T"
Ce -3.0624 -2.7333 4.6732
Ce -3.8983 1.2855 4.5277
Ce 0.8359 -4.0188 4.5277
Ce -0.8359 4.0188 4.6732
Ce 3.8983 -1.2855 4.6732
Ce 3.0624 2.7333 4.5277
Tc 0.0000 0.0000 4.6004
N -1.3958 -4.1144 3.8798
N -4.2611 -0.8484 5.3211
N 0.0000 0.0000 2.7394
N -2.8653 3.2660 3.8798
N 2.8652 -3.2660 5.3211
N 0.0000 0.0000 6.4615
N 4.2610 0.8484 3.8798
N 1.3958 4.1144 5.3211

5.
14
Lattice="1.6184 -4.8999 0.0000 1.6184 4.8999 0.0000 0.0000 0.0000 10.0086" Properties=species:S:1:pos:R:3 comment="PBE CeTc2N4, optimized geometry" formation_energy_uncorrected_ev_per_atom=-0.480 n_ef_per_ev_cell=4.66 sg="No. 63" pbc="T T T"
Ce 1.6184 3.7188 7.5065
Ce 1.6184 -3.7188 2.5022
Tc 1.6184 1.1298 5.6464
Tc 1.6184 1.1298 9.3665
Tc 1.6184 -1.1298 0.6421
Tc 1.6184 -1.1298 4.3622
N 0.0000 0.0000 0.0000
N 0.0000 0.0000 5.0043
N 1.6184 2.3415 1.0711
N 1.6184 2.3415 3.9332
N 1.6184 0.6795 7.5065
N 1.6184 -0.6795 2.5022
N 1.6184 -2.3415 6.0754
N 1.6184 -2.3415 8.9375

6.
20
Lattice="6.6739 0.0000 0.0000 0.0000 10.3092 0.0000 0.0000 0.0000 4.3677" Properties=species:S:1:pos:R:3 comment="PBE CeTcN3, optimized geometry" formation_energy_uncorrected_ev_per_atom=-0.579 n_ef_per_ev_cell=19.25 sg="No. 62" pbc="T T T"
Ce 0.0000 0.0000 0.0000
Ce 0.0000 5.1546 0.0000
Ce 3.3370 0.0000 2.1838
Ce 3.3370 5.1546 2.1838
Tc 1.2950 2.5773 1.8452
Tc 2.0419 7.7319 4.0291
Tc 4.6320 2.5773 0.3386
Tc 5.3789 7.7319 2.5225
N 0.1627 7.7319 3.7621
N 1.1207 0.8477 2.4820
N 1.1207 4.3069 2.4820
N 2.2163 6.0023 0.2982
N 2.2163 9.4615 0.2982
N 3.1742 2.5773 1.5783
N 3.4997 7.7319 2.7894
N 4.4577 0.8477 4.0695
N 4.4577 4.3069 4.0695
N 5.5532 6.0023 1.8856
N 5.5532 9.4615 1.8856
N 6.5112 2.5773 0.6055

7.
12
Lattice="17.3576 0.0000 0.0000 0.0000 3.4561 0.0000 0.0000 0.0000 3.4302" Properties=species:S:1:pos:R:3 comment="PBE CeTcN, optimized geometry" polymorph_energy_mev_per_atom=0 formation_energy_uncorrected_ev_per_atom=-0.526 n_ef_per_ev_cell=9.74 sg="No. 62" pbc="T T T"
Ce 2.9619 0.8640 0.8404
Ce 5.7169 2.5921 2.5555
Ce 11.6407 0.8640 0.8747
Ce 14.3958 2.5921 2.5898
Tc 0.1041 2.5921 0.8568
Tc 8.5747 0.8640 2.5719
Tc 8.7829 2.5921 0.8583
Tc 17.2536 0.8640 2.5734
N 3.4250 2.5921 2.5546
N 5.2538 0.8640 0.8396
N 12.1038 2.5921 2.5906
N 13.9327 0.8640 0.8755

8.
11
Lattice="-1.9652 1.9652 9.4930 1.9652 -1.9652 9.4930 1.9652 1.9652 -9.4930" Properties=species:S:1:pos:R:3 comment="PBE Ce3Tc2N6, optimized geometry" formation_energy_uncorrected_ev_per_atom=-0.967 n_ef_per_ev_cell=10.58 sg="No. 139" pbc="T T T"
Ce 0.0000 0.0000 0.0000
Ce 0.0000 0.0000 3.4655
Ce 0.0000 0.0000 15.5205
Tc 0.0000 0.0000 7.7482
Tc 0.0000 0.0000 11.2379
N 1.9652 0.0000 1.6271
N 0.0000 0.0000 5.6482
N 1.9652 0.0000 7.8660
N 0.0000 1.9652 1.6271
N 0.0000 0.0000 13.3379
N 0.0000 1.9652 7.8660

9.
16
Lattice="6.0230 0.0000 0.0000 0.0000 6.4086 0.0000 -1.8418 0.0000 5.3888" Properties=species:S:1:pos:R:3 comment="PBE CeTcN2, optimized geometry" polymorph_energy_mev_per_atom=0 formation_energy_uncorrected_ev_per_atom=-0.878 n_ef_per_ev_cell=12.56 sg="No. 14" pbc="T T T"
Ce 0.5431 0.5573 1.7079
Ce -0.3778 2.6470 4.4023
Ce 4.5591 3.7616 0.9866
Ce 3.6382 5.8513 3.6810
Tc 1.4519 4.1068 2.0771
Tc 0.5310 5.5062 4.7716
Tc 3.6502 0.9024 0.6173
Tc 2.7293 2.3019 3.3117
N 0.6069 4.7989 0.2081
N -0.3140 4.8140 2.9025
N 1.3211 0.8158 3.9579
N 2.2420 2.3886 1.2635
N 1.9393 4.0201 4.1254
N 2.8602 5.5929 1.4309
N 4.4953 1.5946 2.4863
N 3.5744 1.6097 5.1807

10.
16
Lattice="1.6987 -6.0213 0.0000 1.6987 6.0213 0.0000 0.0000 0.0000 11.7999" Properties=species:S:1:pos:R:3 comment="PBE Ce2ThTcN4, optimized geometry" formation_energy_uncorrected_ev_per_atom=-1.162 n_ef_per_ev_cell=10.60 sg="No. 63" pbc="T T T"
Ce 1.6987 4.4338 6.5131
Ce 1.6987 4.4338 11.1867
Ce 1.6987 -4.4338 0.6132
Ce 1.6987 -4.4338 5.2868
Th 1.6987 1.3409 8.8499
Th 1.6987 -1.3409 2.9500
Tc 1.6987 1.8038 2.9500
Tc 1.6987 -1.8038 8.8499
N 1.6987 5.5449 8.8499
N 1.6987 3.3431 1.5355
N 1.6987 3.3431 4.3644
N 1.6987 0.0000 0.0000
N 1.6987 0.0000 5.8999
N 1.6987 -3.3431 7.4355
N 1.6987 -3.3431 10.2643
N 1.6987 -5.5449 2.9500

11.
16
Lattice="1.6920 -5.7846 0.0000 1.6920 5.7846 0.0000 0.0000 0.0000 11.4187" Properties=species:S:1:pos:R:3 comment="PBE CeTm2TcN4, optimized geometry" formation_energy_uncorrected_ev_per_atom=-1.164 n_ef_per_ev_cell=9.40 sg="No. 63" pbc="T T T"
Ce 1.6920 4.4607 8.5640
Ce 1.6920 -4.4607 2.8547
Tm 1.6920 1.5099 6.1919
Tm 1.6920 1.5099 10.9361
Tm 1.6920 -1.5099 0.4826
Tm 1.6920 -1.5099 5.2268
Tc 1.6920 4.1276 2.8547
Tc 1.6920 -4.1276 8.5640
N 0.0000 0.0000 0.0000
N 0.0000 0.0000 5.7093
N 1.6920 2.7100 1.4423
N 1.6920 2.7100 4.2670
N 1.6920 0.5283 8.5640
N 1.6920 -0.5283 2.8547
N 1.6920 -2.7100 7.1516
N 1.6920 -2.7100 9.9764

12.
18
Lattice="1.7126 -6.6110 0.0000 1.7126 6.6110 0.0000 0.0000 0.0000 9.6197" Properties=species:S:1:pos:R:3 comment="PBE Ce2VTcN5, optimized geometry" formation_energy_uncorrected_ev_per_atom=-1.043 n_ef_per_ev_cell=8.87 sg="No. 36" pbc="T T T"
Ce 1.7126 4.9705 4.8098
Ce 1.7126 4.7860 1.1552
Ce 1.7126 -4.7860 5.9650
Ce 1.7126 -4.9705 0.0000
V 1.7126 0.6855 2.6862
V 1.7126 -0.6855 7.4960
Tc 1.7126 3.9534 7.9093
Tc 1.7126 -3.9534 3.0995
N 1.7126 6.0087 8.3373
N 1.7126 2.7008 4.5006
N 1.7126 2.5107 1.8186
N 1.7126 1.8689 7.9202
N 1.7126 0.0206 1.0427
N 1.7126 -0.0206 5.8525
N 1.7126 -1.8689 3.1104
N 1.7126 -2.5107 6.6285
N 1.7126 -2.7008 9.3105
N 1.7126 -6.0087 3.5275

What is the formula in the ninth record? CeTcN2